# 1
The following is a GGA-PBE calculation of a geometry-optimized Cs5Sb2I12 structure, from the Alexandria database.

excess energy over the best structure of this formula in the dataset: 42 meV/atom

Cell and atoms, written as extended XYZ:
```
19
Lattice="-7.108 -0.027 -6.956 4.948 -7.430 -6.553 -6.206 -7.787 4.845" Properties=species:S:1:pos:R:3 pbc="T T T"
Cs -4.116 -10.367 -4.353
Cs -7.721 -10.448 -7.883
Cs -0.645 -4.797 -0.782
Cs -4.250 -4.877 -4.311
Cs -3.554 -0.013 -3.478
I -5.911 -7.655 -6.024
I -4.155 -9.231 -9.529
I -9.325 -9.396 -4.246
I -2.098 -5.603 -10.162
I 0.960 -5.849 -4.419
I -2.341 -13.442 -2.712
I -2.455 -7.590 -2.640
I -10.025 -5.857 -2.061
I 1.659 -9.388 -6.603
I -6.268 -9.642 1.497
I -6.025 -1.803 -5.952
I -4.211 -6.014 0.865
Sb -4.528 -7.734 3.130
Sb 3.270 -7.484 -4.838
```

# 2
The following is a GGA-PBE calculation of a geometry-optimized CsSbI6 structure, from the Alexandria database.

Cell and atoms, written as extended XYZ:
```
8
Lattice="8.006 0.447 0.725 1.047 7.950 0.725 3.468 3.217 7.764" Properties=species:S:1:pos:R:3 pbc="T T T"
Cs 6.261 5.807 4.607
I 10.424 5.555 6.483
I 2.098 6.059 2.731
I 6.322 9.977 6.483
I 10.441 9.684 8.538
I 2.081 1.930 0.676
I 6.199 1.637 2.731
Sb 0.000 0.000 0.000
```

# 3
The following is a GGA-PBE calculation of a geometry-optimized CsSbI3 structure, from the Alexandria database.

excess energy over the best structure of this formula in the dataset: 5 meV/atom

Cell and atoms, written as extended XYZ:
```
5
Lattice="-1.819 -0.909 5.859 5.914 0.165 1.861 -0.428 6.133 0.819" Properties=species:S:1:pos:R:3 pbc="T T T"
I -0.909 -0.455 2.930
I -0.214 3.066 0.409
I 2.957 0.082 0.931
Sb 0.000 0.000 0.000
Cs 1.833 2.694 4.270
```

# 4
The following is a GGA-PBE calculation of a geometry-optimized CsSb2I7 structure, from the Alexandria database.

Cell and atoms, written as extended XYZ:
```
10
Lattice="-4.140 -4.043 -1.570 6.781 -6.150 -2.046 -3.091 -0.272 8.852" Properties=species:S:1:pos:R:3 pbc="T T T"
I -0.056 -4.051 -0.870
I -0.148 -2.024 5.603
I -2.634 -2.516 1.976
I -0.225 -5.232 2.618
I 3.837 -4.397 1.203
I 2.183 -7.948 3.260
I -0.395 -6.413 6.106
Sb 2.102 -6.617 0.049
Sb -2.552 -3.847 5.186
Cs 0.000 0.000 0.000
```

# 5
The following is a GGA-PBE calculation of a geometry-optimized Cs5Sb2I structure, from the Alexandria database.

Cell and atoms, written as extended XYZ:
```
16
Lattice="9.072 0.000 -4.283 -2.022 8.844 -4.283 -0.215 -0.269 11.296" Properties=species:S:1:pos:R:3 pbc="T T T"
Cs 5.413 8.392 -4.505
Cs 0.000 0.000 0.000
Cs 3.449 2.725 -0.222
Cs 1.162 7.147 -1.761
Cs 3.387 5.850 2.953
Cs -0.865 4.605 5.697
Cs 7.701 3.970 -2.966
Cs 5.674 1.428 4.491
Cs 3.525 4.422 -4.283
Cs 1.423 0.183 7.235
I 5.181 6.498 -0.776
I 1.655 2.076 3.507
Sb 5.276 0.928 -3.040
Sb 6.897 5.350 -6.424
Sb 1.775 7.916 -5.525
Sb 0.153 3.494 -2.141
```

# 6
The following is a GGA-PBE calculation of a geometry-optimized CsSb4I12 structure, from the Alexandria database.

Cell and atoms, written as extended XYZ:
```
17
Lattice="10.157 0.000 0.000 -3.386 9.576 0.000 -3.386 -4.788 8.293" Properties=species:S:1:pos:R:3 pbc="T T T"
I 6.842 2.344 0.898
I 6.038 -1.532 5.814
I 4.119 4.269 4.233
I 2.652 1.013 6.712
I 0.071 4.394 5.814
I -2.652 6.319 2.479
I -3.456 2.444 7.395
I 3.315 0.394 2.479
I 0.733 3.775 1.581
I 3.456 7.626 1.581
I -0.733 0.519 4.060
I -0.071 -2.838 6.712
Sb -1.693 -2.394 4.146
Sb -1.693 4.788 0.000
Sb 5.078 0.000 0.000
Sb 1.693 2.394 4.146
Cs 0.000 0.000 0.000
```

# 7
The following is a GGA-PBE calculation of a geometry-optimized Cs2Sb2I structure, from the Alexandria database.

excess energy over the best structure of this formula in the dataset: 301 meV/atom

Cell and atoms, written as extended XYZ:
```
10
Lattice="11.414 0.000 0.000 0.000 11.414 0.000 0.000 0.000 3.602" Properties=species:S:1:pos:R:3 pbc="T T T"
I 0.000 0.000 0.000
I 5.707 5.707 0.000
Sb 4.737 0.970 1.801
Sb 6.677 10.444 1.801
Sb 0.970 6.677 1.801
Sb 10.444 4.737 1.801
Cs 9.048 8.073 0.000
Cs 2.366 3.341 0.000
Cs 3.341 9.048 0.000
Cs 8.073 2.366 0.000
```

# 8
The following is a GGA-PBE calculation of a geometry-optimized Cs3SbI8 structure, from the Alexandria database.

Cell and atoms, written as extended XYZ:
```
12
Lattice="8.618 0.000 0.000 0.000 8.618 0.000 -4.309 -4.309 8.855" Properties=species:S:1:pos:R:3 pbc="T T T"
I -2.444 2.444 6.939
I 2.444 -2.444 6.939
I 6.753 6.753 1.917
I -2.444 -2.444 6.939
I 1.865 1.865 1.917
I 1.865 6.753 1.917
I 6.753 1.865 1.917
I 2.444 2.444 6.939
Cs 0.000 4.309 4.428
Cs 4.309 4.309 0.000
Cs 4.309 0.000 4.428
Sb 0.000 0.000 0.000
```

no.,DFT total energy (Ry/atom),theoretical density (g/cm3)
1,-0.184,3.3
2,-0.165,3.7
3,-0.197,4.4
4,-0.183,4.4
5,-0.180,3.9
6,-0.184,4.4
7,-0.201,4.5
8,-0.167,3.9